(1)
YPbS3 PBE-GGA optimized geometry; calculated total energy = -23.76 eV per cell; offset from the most stable computed form = 816 meV/atom
1.0
-1.656 -2.622 -4.039
1.721 -4.311 2.093
-4.497 -0.684 2.288
S Y Pb
3 1 1
Direct
0.000 0.500 0.000
0.000 0.000 0.500
0.500 0.000 0.000
0.500 0.500 0.500
0.000 0.000 0.000

---

(2)
YPbS3 PBE-GGA optimized geometry; calculated total energy = -55.69 eV per cell; offset from the most stable computed form = 0 meV/atom
1.0
-2.073 -3.010 1.868
7.870 -2.940 3.997
-1.686 4.406 5.228
S Pb Y
6 2 2
Direct
0.750 0.041 0.288
0.250 0.678 0.006
0.250 0.342 0.596
0.250 0.959 0.712
0.750 0.322 0.994
0.750 0.658 0.404
0.250 0.439 0.227
0.750 0.561 0.773
0.750 0.137 0.657
0.250 0.863 0.343

---

(3)
Yb2PbS4 PBE-GGA optimized geometry; calculated total energy = -130.28 eV per cell; offset from the most stable computed form = 0 meV/atom
1.0
-3.330 -2.085 1.413
5.164 -10.426 -3.219
5.994 -0.957 12.717
Yb S Pb
8 16 4
Direct
0.250 0.659 0.616
0.750 0.841 0.116
0.250 0.159 0.884
0.750 0.454 0.886
0.750 0.341 0.384
0.250 0.046 0.386
0.250 0.546 0.114
0.750 0.954 0.614
0.250 0.533 0.780
0.250 0.354 0.001
0.750 0.990 0.968
0.250 0.854 0.499
0.750 0.759 0.709
0.250 0.241 0.291
0.250 0.510 0.468
0.750 0.467 0.220
0.750 0.490 0.532
0.750 0.967 0.280
0.250 0.010 0.032
0.750 0.646 0.999
0.250 0.033 0.720
0.250 0.741 0.209
0.750 0.259 0.791
0.750 0.146 0.501
0.250 0.737 0.858
0.750 0.263 0.142
0.250 0.237 0.642
0.750 0.763 0.358

---

(4)
Yb2PbS4 PBE-GGA optimized geometry; calculated total energy = -128.78 eV per cell; offset from the most stable computed form = 53 meV/atom
1.0
3.966 0.000 0.000
0.000 11.941 0.000
0.000 0.000 14.433
S Pb Yb
16 4 8
Direct
0.750 0.586 0.579
0.750 0.290 0.678
0.250 0.210 0.178
0.250 0.710 0.322
0.750 0.370 0.974
0.250 0.630 0.026
0.750 0.490 0.211
0.250 0.914 0.079
0.250 0.414 0.421
0.750 0.086 0.921
0.750 0.990 0.289
0.750 0.790 0.822
0.750 0.870 0.526
0.250 0.130 0.474
0.250 0.010 0.711
0.250 0.510 0.789
0.250 0.774 0.663
0.750 0.726 0.163
0.250 0.274 0.837
0.750 0.226 0.337
0.750 0.067 0.110
0.250 0.433 0.610
0.250 0.917 0.400
0.250 0.417 0.100
0.750 0.583 0.900
0.250 0.933 0.890
0.750 0.567 0.390
0.750 0.083 0.600

---

(5)
Zn2Pb2S PBE-GGA optimized geometry; calculated total energy = -27.46 eV per cell
1.0
-2.793 3.615 4.833
-3.345 -5.360 2.077
3.975 -1.233 3.219
S Zn Pb
2 4 4
Direct
0.500 0.500 0.000
0.000 0.000 0.000
0.634 0.134 0.000
0.366 0.866 0.000
0.866 0.634 0.000
0.134 0.366 0.000
0.826 0.326 0.500
0.174 0.674 0.500
0.674 0.826 0.500
0.326 0.174 0.500

---

(6)
Zn2PbS2 PBE-GGA optimized geometry; calculated total energy = -15.49 eV per cell
1.0
4.787 0.000 0.000
0.000 4.787 0.000
2.393 2.393 4.392
Zn S Pb
2 2 1
Direct
0.360 0.360 0.280
0.640 0.640 0.720
0.250 0.750 0.500
0.750 0.250 0.500
0.000 0.000 0.000

---

(7)
ZnPb2S3 PBE-GGA optimized geometry; calculated total energy = -97.77 eV per cell
1.0
-0.368 -3.594 1.897
8.070 0.583 2.668
-5.192 7.905 13.973
Pb S Zn
8 12 4
Direct
0.250 0.422 0.232
0.750 0.223 0.465
0.750 0.578 0.768
0.750 0.078 0.732
0.250 0.922 0.268
0.750 0.723 0.035
0.250 0.777 0.535
0.250 0.277 0.965
0.750 0.001 0.899
0.750 0.501 0.601
0.250 0.313 0.771
0.250 0.499 0.399
0.750 0.687 0.229
0.750 0.187 0.271
0.250 0.813 0.729
0.250 0.122 0.568
0.250 0.622 0.932
0.250 0.999 0.101
0.750 0.878 0.432
0.750 0.378 0.068
0.750 0.133 0.133
0.250 0.367 0.633
0.750 0.633 0.367
0.250 0.867 0.867

---

(8)
ZnPbS2 PBE-GGA optimized geometry; calculated total energy = -14.93 eV per cell
1.0
2.623 0.000 7.169
-1.311 2.272 7.169
-1.311 -2.272 7.169
Pb S Zn
1 2 1
Direct
0.500 0.500 0.500
0.099 0.099 0.099
0.901 0.901 0.901
0.000 0.000 0.000

---

(9)
ZnPbS2 PBE-GGA optimized geometry; calculated total energy = -30.73 eV per cell
1.0
6.305 0.000 0.000
0.000 6.305 0.000
3.152 3.152 5.368
Pb S Zn
2 4 2
Direct
0.750 0.250 0.500
0.000 0.000 0.000
0.192 0.625 0.250
0.558 0.125 0.250
0.875 0.808 0.750
0.375 0.442 0.750
0.500 0.500 0.000
0.250 0.750 0.500

---

(10)
ZnPb2S PBE-GGA optimized geometry; calculated total energy = -12.38 eV per cell
1.0
0.000 3.661 3.661
3.661 0.000 3.661
3.661 3.661 0.000
Pb Zn S
2 1 1
Direct
0.750 0.750 0.750
0.250 0.250 0.250
0.500 0.500 0.500
0.000 0.000 0.000